BaPmNb: optimized geometry, PBE.

Cell lengths 7.646, 7.646, 7.646 Å; angles 90.00, 90.00, 90.00 degrees
Space group F-43m (No. 216)
Symmetry-distinct sites (fractional):
Ba: 0.000 0.000 0.000 x4
Pm: 0.000 0.000 0.500 x4
Nb: 0.250 0.250 0.250 x4

Properties
ΔE to the lowest computed polymorph   0.0 meV per atom

Tb2SmZn2Si4Au2: optimized geometry, PBE.

Cell lengths 4.161, 4.183, 24.661 Å; angles 90.00, 90.00, 90.00 degrees
Space group Immm (No. 71)
Symmetry-distinct sites (fractional):
Tb: 0.000 0.000 0.144 x4
Sm: 0.000 0.500 0.000 x2
Zn: 0.000 0.000 0.406 x4
Si: 0.000 0.000 0.311 x4
Si: 0.000 0.500 0.452 x4
Au: 0.000 0.500 0.251 x4

Properties
ΔE to the lowest computed polymorph   43.8 meV per atom

BaCdTeO: optimized geometry, PBE.

Cell lengths 6.344, 6.344, 7.396 Å; angles 90.00, 90.00, 90.00 degrees
Space group P4/nmm (No. 129, origin choice 2)
Symmetry-distinct sites (fractional):
Ba: 0.250 0.750 0.000 x2
Cd: 0.250 0.250 0.262 x2
Te: 0.250 0.250 0.808 x2
O: 0.250 0.250 0.542 x2

Properties
Raw total energy   -27.71 eV for the cell shown

La2NdCu2Si4Ir2: optimized geometry, PBE.

Cell lengths 4.143, 4.168, 24.523 Å; angles 90.00, 90.00, 90.00 degrees
Space group Immm (No. 71)
Symmetry-distinct sites (fractional):
La: 0.000 0.000 0.146 x4
Nd: 0.000 0.500 0.500 x2
Cu: 0.000 0.000 0.403 x4
Si: 0.000 0.000 0.303 x4
Si: 0.000 0.500 0.049 x4
Ir: 0.000 0.500 0.251 x4

Properties
Raw total energy   -141.15 eV for the cell shown

| no. | density (g/cm³) |
| --- | --- |
| 1 | 5.576 |
| 2 | 8.551 |
| 3 | 4.389 |
| 4 | 8.203 |